<1>
SmDyBi2 | PBE | optimized geometry

a b c (Å): 7.8226 4.5231 7.8214
angles (deg): 90.00 109.57 90.00
Space group C2/m (No. 12)
Unique sites:
Sm: 0.0000 0.0000 0.0000 (multiplicity 2)
Dy: 0.0000 0.5000 0.5000 (multiplicity 2)
Bi: 0.2482 0.0000 0.7444 (multiplicity 4)

Spin magnetization = 0.00 μB/f.u.

---

<2>
SmDyBi2 | PBE | optimized geometry

a b c (Å): 4.5039 4.5039 14.9584
angles (deg): 90.00 90.00 120.00
Space group P6_3/mmc (No. 194)
Unique sites:
Sm: 0.0000 0.0000 0.0000 (multiplicity 2)
Dy: 0.3333 0.6667 0.2500 (multiplicity 2)
Bi: 0.3333 0.6667 0.6251 (multiplicity 4)

Spin magnetization = 0.00 μB/f.u.

---

Q: Which of them is the least stable? A: <2>.

---

<1>
Sm2DyBi | PBE | optimized geometry

a b c (Å): 4.0854 4.0854 29.2353
angles (deg): 90.00 90.00 120.00
Space group R-3m (No. 166, hexagonal axes)
Unique sites:
Sm: 0.0000 0.0000 0.2372 (multiplicity 6)
Dy: 0.0000 0.0000 0.0000 (multiplicity 3)
Bi: 0.0000 0.0000 0.5000 (multiplicity 3)

Spin magnetization = 1.00 μB/f.u.

---

<2>
Sm2DyBi | PBE | optimized geometry

a b c (Å): 4.9049 4.9049 4.9497
angles (deg): 90.00 90.00 90.00
Space group P4/mmm (No. 123)
Unique sites:
Sm: 0.0000 0.5000 0.0000 (multiplicity 2)
Dy: 0.0000 0.0000 0.5000 (multiplicity 1)
Bi: 0.5000 0.5000 0.5000 (multiplicity 1)

Spin magnetization = 0.00 μB/f.u.

---

Q: Which of them is the least stable? A: <1>.